A relaxed Zn6Ag crystal. Source: Alexandria via LeMat-Bulk, functional PBE-GGA.

energy of formation from the pure elements	55.0	kJ/mol of atoms
SG	Im-3m
spin magnetization	0.0	μB per cell
ΔE to the lowest computed polymorph	0.498	eV per atom

Unit cell a=6.041 b=6.041 c=6.041 alpha=109.47 beta=109.47 gamma=109.47
Element x y z (fractional)
Zn (0.250, 0.500, 0.750)
Zn (0.250, 0.750, 0.500)
Zn (0.500, 0.250, 0.750)
Zn (0.500, 0.750, 0.250)
Zn (0.750, 0.250, 0.500)
Zn (0.750, 0.500, 0.250)
Ag (0.000, 0.000, 0.000)


A relaxed Zn4Ag crystal. Source: Alexandria via LeMat-Bulk, functional PBE-GGA.

energy of formation from the pure elements	43.4	kJ/mol of atoms
SG	Pm-3m
spin magnetization	0.0	μB per cell
ΔE to the lowest computed polymorph	0.449	eV per atom

Unit cell a=4.970 b=4.970 c=4.970 alpha=90.00 beta=90.00 gamma=90.00
Element x y z (fractional)
Zn (0.000, 0.000, 0.000)
Zn (0.000, 0.500, 0.500)
Zn (0.500, 0.000, 0.500)
Zn (0.500, 0.500, 0.000)
Ag (0.500, 0.500, 0.500)


A relaxed Zn4Ag5 crystal. Source: Alexandria via LeMat-Bulk, functional PBE-GGA.

energy of formation from the pure elements	-2.6	kJ/mol of atoms
SG	C2/m
spin magnetization	0.0	μB per cell
ΔE to the lowest computed polymorph	0.000	eV per atom

Unit cell a=6.660 b=6.660 c=3.588 alpha=105.47 beta=105.47 gamma=85.23
Element x y z (fractional)
Zn (0.001, 0.661, 0.831)
Zn (0.339, 0.999, 0.169)
Zn (0.661, 0.001, 0.831)
Zn (0.999, 0.339, 0.169)
Ag (0.000, 0.000, 0.500)
Ag (0.322, 0.322, 0.822)
Ag (0.326, 0.674, 0.500)
Ag (0.674, 0.326, 0.500)
Ag (0.678, 0.678, 0.178)


A relaxed ZnAg2 crystal. Source: Alexandria via LeMat-Bulk, functional PBE-GGA.

energy of formation from the pure elements	-1.1	kJ/mol of atoms
SG	I4_1/amd
spin magnetization	0.0	μB per cell
ΔE to the lowest computed polymorph	0.033	eV per atom

Unit cell a=12.825 b=12.825 c=12.825 alpha=161.98 beta=161.98 gamma=25.60
Element x y z (fractional)
Zn (0.293, 0.543, 0.750)
Zn (0.457, 0.707, 0.750)
Zn (0.543, 0.293, 0.250)
Zn (0.707, 0.457, 0.250)
Ag (0.040, 0.790, 0.250)
Ag (0.125, 0.375, 0.750)
Ag (0.210, 0.960, 0.250)
Ag (0.375, 0.125, 0.250)
Ag (0.625, 0.875, 0.750)
Ag (0.790, 0.040, 0.750)
Ag (0.875, 0.625, 0.250)
Ag (0.960, 0.210, 0.750)


A relaxed ZnAg7 crystal. Source: Alexandria via LeMat-Bulk, functional PBE-GGA.

energy of formation from the pure elements	0.1	kJ/mol of atoms
SG	Fm-3m
spin magnetization	0.0	μB per cell

Unit cell a=5.826 b=5.826 c=5.826 alpha=60.00 beta=60.00 gamma=60.00
Element x y z (fractional)
Zn (0.000, 0.000, 0.000)
Ag (0.000, 0.000, 0.500)
Ag (0.000, 0.500, 0.000)
Ag (0.000, 0.500, 0.500)
Ag (0.500, 0.000, 0.000)
Ag (0.500, 0.000, 0.500)
Ag (0.500, 0.500, 0.000)
Ag (0.500, 0.500, 0.500)


A relaxed ZnAg8 crystal. Source: Alexandria via LeMat-Bulk, functional PBE-GGA.

energy of formation from the pure elements	2.9	kJ/mol of atoms
SG	I4/mmm
spin magnetization	0.0	μB per cell
ΔE to the lowest computed polymorph	0.010	eV per atom

Unit cell a=7.311 b=7.311 c=7.311 alpha=92.59 beta=92.59 gamma=155.48
Element x y z (fractional)
Zn (0.000, 0.000, 0.000)
Ag (0.000, 0.334, 0.334)
Ag (0.000, 0.666, 0.666)
Ag (0.334, 0.000, 0.334)
Ag (0.339, 0.339, 0.677)
Ag (0.339, 0.661, 0.000)
Ag (0.661, 0.339, 0.000)
Ag (0.661, 0.661, 0.323)
Ag (0.666, 0.000, 0.666)


A relaxed Zn4Ag crystal. Source: Alexandria via LeMat-Bulk, functional PBE-GGA.

energy of formation from the pure elements	1.1	kJ/mol of atoms
SG	P-1
spin magnetization	0.0	μB per cell
ΔE to the lowest computed polymorph	0.011	eV per atom

Unit cell a=2.771 b=4.286 c=6.810 alpha=103.66 beta=90.70 gamma=95.49
Element x y z (fractional)
Zn (0.044, 0.403, 0.293)
Zn (0.311, 0.201, 0.907)
Zn (0.689, 0.799, 0.093)
Zn (0.956, 0.597, 0.707)
Ag (0.500, 0.000, 0.500)


A relaxed ZnAg2 crystal. Source: Alexandria via LeMat-Bulk, functional PBE-GGA.

energy of formation from the pure elements	-0.7	kJ/mol of atoms
SG	Cm
spin magnetization	0.0	μB per cell
ΔE to the lowest computed polymorph	0.037	eV per atom

Unit cell a=5.394 b=5.394 c=6.661 alpha=104.75 beta=104.75 gamma=32.79
Element x y z (fractional)
Zn (0.000, 0.000, 0.000)
Zn (0.672, 0.672, 0.331)
Ag (0.288, 0.288, 0.081)
Ag (0.332, 0.332, 0.660)
Ag (0.617, 0.617, 0.750)
Ag (0.967, 0.967, 0.399)


A relaxed ZnAg crystal. Source: Alexandria via LeMat-Bulk, functional PBE-GGA.

energy of formation from the pure elements	1.9	kJ/mol of atoms
SG	Fd-3m
spin magnetization	0.0	μB per cell

Unit cell a=4.532 b=4.532 c=4.532 alpha=60.00 beta=60.00 gamma=60.00
Element x y z (fractional)
Zn (0.125, 0.125, 0.125)
Zn (0.875, 0.875, 0.875)
Ag (0.375, 0.375, 0.375)
Ag (0.625, 0.625, 0.625)


A relaxed Zn3Ag2 crystal. Source: Alexandria via LeMat-Bulk, functional PBE-GGA.

energy of formation from the pure elements	0.2	kJ/mol of atoms
SG	Immm
spin magnetization	0.0	μB per cell
ΔE to the lowest computed polymorph	0.028	eV per atom

Unit cell a=8.373 b=8.373 c=8.373 alpha=159.50 beta=157.01 gamma=30.99
Element x y z (fractional)
Zn (0.000, 0.000, 0.000)
Zn (0.407, 0.407, 0.000)
Zn (0.593, 0.593, 0.000)
Ag (0.192, 0.192, 0.000)
Ag (0.808, 0.808, 0.000)


A relaxed Zn6Ag crystal. Source: Alexandria via LeMat-Bulk, functional PBE-GGA.

energy of formation from the pure elements	7.0	kJ/mol of atoms
SG	P4/nbm
spin magnetization	0.0	μB per cell
ΔE to the lowest computed polymorph	0.000	eV per atom

Unit cell a=5.063 b=5.063 c=8.919 alpha=90.00 beta=90.00 gamma=90.00
Element x y z (fractional)
Zn (0.072, 0.572, 0.137)
Zn (0.072, 0.928, 0.863)
Zn (0.250, 0.250, 0.356)
Zn (0.250, 0.250, 0.644)
Zn (0.428, 0.572, 0.863)
Zn (0.428, 0.928, 0.137)
Zn (0.572, 0.072, 0.863)
Zn (0.572, 0.428, 0.137)
Zn (0.750, 0.750, 0.356)
Zn (0.750, 0.750, 0.644)
Zn (0.928, 0.072, 0.137)
Zn (0.928, 0.428, 0.863)
Ag (0.250, 0.750, 0.500)
Ag (0.750, 0.250, 0.500)


A relaxed Zn5Ag7 crystal. Source: Alexandria via LeMat-Bulk, functional PBE-GGA.

energy of formation from the pure elements	-2.0	kJ/mol of atoms
SG	C2/m
spin magnetization	0.0	μB per cell
ΔE to the lowest computed polymorph	0.000	eV per atom

Unit cell a=7.186 b=7.186 c=10.788 alpha=119.44 beta=119.44 gamma=24.31
Element x y z (fractional)
Zn (0.000, 0.000, 0.000)
Zn (0.164, 0.164, 0.490)
Zn (0.283, 0.283, 0.278)
Zn (0.717, 0.717, 0.722)
Zn (0.836, 0.836, 0.510)
Ag (0.073, 0.073, 0.766)
Ag (0.324, 0.324, 0.968)
Ag (0.391, 0.391, 0.749)
Ag (0.500, 0.500, 0.500)
Ag (0.609, 0.609, 0.251)
Ag (0.676, 0.676, 0.032)
Ag (0.927, 0.927, 0.234)


A relaxed ZnAg3 crystal. Source: Alexandria via LeMat-Bulk, functional PBE-GGA.

energy of formation from the pure elements	-2.2	kJ/mol of atoms
SG	C2/m
spin magnetization	0.0	μB per cell

Unit cell a=5.019 b=5.019 c=5.010 alpha=101.85 beta=101.85 gamma=33.69
Element x y z (fractional)
Zn (0.000, 0.000, 0.000)
Ag (0.258, 0.258, 0.757)
Ag (0.500, 0.500, 0.500)
Ag (0.742, 0.742, 0.243)


A relaxed Zn4Ag crystal. Source: Alexandria via LeMat-Bulk, functional PBE-GGA.

energy of formation from the pure elements	0.2	kJ/mol of atoms
SG	C2/m
spin magnetization	0.0	μB per cell
ΔE to the lowest computed polymorph	0.002	eV per atom

Unit cell a=4.762 b=4.762 c=6.681 alpha=120.07 beta=120.07 gamma=37.58
Element x y z (fractional)
Zn (0.102, 0.102, 0.406)
Zn (0.304, 0.304, 0.206)
Zn (0.696, 0.696, 0.794)
Zn (0.898, 0.898, 0.594)
Ag (0.500, 0.500, 0.000)


A relaxed ZnAg2 crystal. Source: Alexandria via LeMat-Bulk, functional PBE-GGA.

energy of formation from the pure elements	-0.1	kJ/mol of atoms
SG	Pnnm
spin magnetization	0.0	μB per cell
ΔE to the lowest computed polymorph	0.043	eV per atom

Unit cell a=2.933 b=7.974 c=4.350 alpha=90.00 beta=90.00 gamma=90.00
Element x y z (fractional)
Zn (0.000, 0.000, 0.000)
Zn (0.500, 0.500, 0.500)
Ag (0.187, 0.334, 0.000)
Ag (0.313, 0.834, 0.500)
Ag (0.687, 0.166, 0.500)
Ag (0.813, 0.666, 0.000)


A relaxed ZnAg3 crystal. Source: Alexandria via LeMat-Bulk, functional PBE-GGA.

energy of formation from the pure elements	-0.4	kJ/mol of atoms
SG	I4/mmm
spin magnetization	0.0	μB per cell

Unit cell a=5.014 b=5.014 c=5.014 alpha=131.99 beta=131.99 gamma=70.25
Element x y z (fractional)
Zn (0.000, 0.000, 0.000)
Ag (0.250, 0.750, 0.500)
Ag (0.500, 0.500, 0.000)
Ag (0.750, 0.250, 0.500)


A relaxed ZnAg3 crystal. Source: Alexandria via LeMat-Bulk, functional PBE-GGA.

energy of formation from the pure elements	-1.4	kJ/mol of atoms
SG	P4/mmm
spin magnetization	0.0	μB per cell

Unit cell a=2.993 b=2.993 c=7.607 alpha=90.00 beta=90.00 gamma=90.00
Element x y z (fractional)
Zn (0.000, 0.000, 0.000)
Ag (0.000, 0.000, 0.500)
Ag (0.500, 0.500, 0.233)
Ag (0.500, 0.500, 0.767)


A relaxed Zn13Ag3 crystal. Source: Alexandria via LeMat-Bulk, functional PBE-GGA.

energy of formation from the pure elements	0.9	kJ/mol of atoms
SG	Amm2
spin magnetization	0.0	μB per cell

Unit cell a=7.100 b=5.917 c=5.917 alpha=89.92 beta=90.00 gamma=90.00
Element x y z (fractional)
Zn (0.000, 0.000, 0.000)
Zn (0.000, 0.002, 0.540)
Zn (0.000, 0.537, 0.537)
Zn (0.000, 0.540, 0.002)
Zn (0.249, 0.272, 0.770)
Zn (0.249, 0.770, 0.272)
Zn (0.271, 0.762, 0.762)
Zn (0.500, 0.034, 0.507)
Zn (0.500, 0.501, 0.501)
Zn (0.500, 0.507, 0.034)
Zn (0.729, 0.762, 0.762)
Zn (0.751, 0.272, 0.770)
Zn (0.751, 0.770, 0.272)
Ag (0.219, 0.270, 0.270)
Ag (0.500, 0.020, 0.020)
Ag (0.781, 0.270, 0.270)


A relaxed Zn12Ag17 crystal. Source: Alexandria via LeMat-Bulk, functional PBE-GGA.

energy of formation from the pure elements	-2.9	kJ/mol of atoms
SG	I-43m
spin magnetization	0.0	μB per cell

Unit cell a=8.538 b=8.538 c=8.538 alpha=109.47 beta=109.47 gamma=109.47
Element x y z (fractional)
Zn (0.000, 0.627, 0.811)
Zn (0.000, 0.811, 0.627)
Zn (0.184, 0.373, 0.373)
Zn (0.189, 0.189, 0.816)
Zn (0.189, 0.816, 0.189)
Zn (0.373, 0.184, 0.373)
Zn (0.373, 0.373, 0.184)
Zn (0.627, 0.000, 0.811)
Zn (0.627, 0.811, 0.000)
Zn (0.811, 0.000, 0.627)
Zn (0.811, 0.627, 0.000)
Zn (0.816, 0.189, 0.189)
Ag (0.000, 0.000, 0.000)
Ag (0.000, 0.000, 0.341)
Ag (0.000, 0.314, 0.598)
Ag (0.000, 0.341, 0.000)
Ag (0.000, 0.598, 0.314)
Ag (0.284, 0.686, 0.686)
Ag (0.314, 0.000, 0.598)
Ag (0.314, 0.598, 0.000)
Ag (0.341, 0.000, 0.000)
Ag (0.402, 0.402, 0.716)
Ag (0.402, 0.716, 0.402)
Ag (0.598, 0.000, 0.314)
Ag (0.598, 0.314, 0.000)
Ag (0.659, 0.659, 0.659)
Ag (0.686, 0.284, 0.686)
Ag (0.686, 0.686, 0.284)
Ag (0.716, 0.402, 0.402)


A relaxed ZnAg2 crystal. Source: Alexandria via LeMat-Bulk, functional PBE-GGA.

energy of formation from the pure elements	-1.9	kJ/mol of atoms
SG	Cmcm
spin magnetization	0.0	μB per cell
ΔE to the lowest computed polymorph	0.024	eV per atom

Unit cell a=5.264 b=5.264 c=4.578 alpha=90.00 beta=90.00 gamma=52.41
Element x y z (fractional)
Zn (0.211, 0.789, 0.750)
Zn (0.789, 0.211, 0.250)
Ag (0.126, 0.559, 0.250)
Ag (0.441, 0.874, 0.250)
Ag (0.559, 0.126, 0.750)
Ag (0.874, 0.441, 0.750)